# MnTl2Pt PBE optimized geometry
data_MnTl2Pt
_chemical_formula_sum 'Mn2 Tl4 Pt2'
_cell_length_a 4.296
_cell_length_b 4.296
_cell_length_c 8.741
_cell_angle_alpha 90.00
_cell_angle_beta 90.00
_cell_angle_gamma 90.00
_symmetry_space_group_name_H-M 'I -4 m 2'
_symmetry_Int_Tables_number 119
_symmetry_space_group_name_Hall 'I -4 -2'
loop_
_atom_site_label
_atom_site_fract_x
_atom_site_fract_y
_atom_site_fract_z
_atom_site_occupancy
Mn1 0.000 0.000 0.000 1
Tl1 0.000 0.000 0.500 1
Tl2 0.000 0.500 0.250 1
Pt1 0.000 0.500 0.750 1
# - Energy above the lowest structure with this stoichiometry: 196 meV/atom
# - D(E_F): 0.51 states/eV per atom
# - Theoretical density: 13.6 g cm⁻³
# - Calculated formation energy: 0.25 eV/atom